# Sc5NiAg

Sc5NiAg after structural relaxation (PBE-GGA, Alexandria via LeMat-Bulk).

Results
Its energy of formation is -90 meV per atom. The value obtained for the energy is -40.917 eV/f.u. The space group is No. 15.

a b c (Å): 5.2997 5.2997 11.2003
angles (deg): 100.54 100.54 78.43
Positions (direct):
Sc (0.0100, 0.9900, 0.7500)
Sc (0.0881, 0.4162, 0.6224)
Sc (0.2073, 0.5253, 0.9230)
Sc (0.4162, 0.0881, 0.1224)
Sc (0.4747, 0.7927, 0.5770)
Sc (0.5253, 0.2073, 0.4230)
Sc (0.5838, 0.9119, 0.8776)
Sc (0.7927, 0.4747, 0.0770)
Sc (0.9119, 0.5838, 0.3776)
Sc (0.9900, 0.0100, 0.2500)
Ni (0.0000, 0.0000, 0.0000)
Ni (0.0000, 0.0000, 0.5000)
Ag (0.4010, 0.5990, 0.2500)
Ag (0.5990, 0.4010, 0.7500)



# La2TaZnCo

La2TaZnCo after structural relaxation (PBE-GGA, Alexandria via LeMat-Bulk).

Results
For the energy above the lowest structure with this stoichiometry, the calculation gives 112 meV/atom. Its energy of formation is 648 meV per atom. The value obtained for the energy is -26.849 eV/f.u. The space group is No. 123.

a b c (Å): 5.7293 5.7293 4.4453
angles (deg): 90.00 90.00 90.00
Positions (direct):
La (0.0000, 0.5000, 0.0000)
La (0.5000, 0.0000, 0.0000)
Ta (0.0000, 0.0000, 0.0000)
Zn (0.5000, 0.5000, 0.5000)
Co (0.0000, 0.0000, 0.5000)



# BePbBr

BePbBr after structural relaxation (PBE-GGA, Alexandria via LeMat-Bulk).

Results
For the energy above the lowest structure with this stoichiometry, the calculation gives 671 meV/atom. The value obtained for the energy is -6.985 eV/f.u. The calculation puts the uncorrected formation energy at 0.708 eV/atom. The space group is No. 216.

a b c (Å): 5.1112 5.1112 5.1112
angles (deg): 60.00 60.00 60.00
Positions (direct):
Be (0.0000, 0.0000, 0.0000)
Pb (0.7500, 0.7500, 0.7500)
Br (0.5000, 0.5000, 0.5000)